This record from Alexandria describes a relaxed structure of Si3HBr. The functional is PBE-GGA.

Values from the calculation:
As for the volume: 15.8 Å³/atom. The space group is Pm-3m, No. 221. The electronic total energy comes out at -3.278 eV per atom.

a = 4.288 Å, b = 4.288 Å, c = 4.288 Å
α = 90.00°, β = 90.00°, γ = 90.00°
Atoms (fractional coordinates):
1 Si 0.000 0.000 0.500
2 Si 0.000 0.500 0.000
3 Si 0.500 0.000 0.000
4 H 0.000 0.000 0.000
5 Br 0.500 0.500 0.500